# KCo3O | Alexandria | PBE with a Hubbard U | relaxed
# * crystal system: cubic
# * raw total energy: -17.54 eV per formula unit
# * DOS at the Fermi energy: 1.940 states/eV/cell
# * energy above the most stable polymorph in this dataset: 0 meV/atom
data_KCo3O
_space_group_name_H-M_alt 'P m -3 m'
_space_group_IT_number 221
_space_group_name_Hall '-P 4 2 3'
_cell_length_a 4.460
_cell_length_b 4.460
_cell_length_c 4.460
_cell_angle_alpha 90.00
_cell_angle_beta 90.00
_cell_angle_gamma 90.00
loop_
_atom_site_label
_atom_site_fract_x
_atom_site_fract_y
_atom_site_fract_z
K1 0.000 0.000 0.000
Co1 0.000 0.500 0.500
O1 0.500 0.500 0.500